Record 1
KZrCd2 after structural relaxation, computed with PBEsol.

- E above lowest polymorph: 154 meV per atom
- Raw total energy: -43.9 eV per cell
- Formation enthalpy at 0 K: 1.64 eV/f.u.
- V: 397.1 Å³ per cell

Cell lengths 7.3500, 7.3500, 7.3500 Å; angles 90.00, 90.00, 90.00 degrees
Space group Fm-3m (No. 225)
Asymmetric unit:
K 0.0000 0.0000 0.0000
Zr 0.0000 0.0000 0.5000
Cd 0.2500 0.2500 0.2500

Record 2
KZrCd2 after structural relaxation, computed with PBEsol.

- E above lowest polymorph: 315 meV per atom
- Raw total energy: -41.3 eV per cell
- Formation enthalpy at 0 K: 2.28 eV/f.u.
- V: 372.1 Å³ per cell

Cell lengths 7.1926, 7.1926, 7.1926 Å; angles 90.00, 90.00, 90.00 degrees
Space group F-43m (No. 216)
Asymmetric unit:
K 0.0000 0.0000 0.0000
Zr 0.2500 0.2500 0.7500
Cd 0.0000 0.0000 0.5000
Cd 0.2500 0.2500 0.2500